# 1
Computed, not measured: a crystal of Ta2NiAs relaxed with PBEsol at the SCAN level of DFT. Values from VASP.

As for the crystal system: tetragonal. The space group is P4mm.

```
&SYSTEM
  ibrav = 0, nat = 4, ntyp = 3
/
ATOMIC_SPECIES
Ta 180.95 Ta.upf
Ni 58.69 Ni.upf
As 74.92 As.upf
CELL_PARAMETERS angstrom
2.885 0.000 0.000
0.000 2.885 0.000
0.000 0.000 7.375
ATOMIC_POSITIONS crystal
Ta 0.000 0.000 0.000
Ta 0.500 0.500 0.299
Ni 0.500 0.500 0.764
As 0.000 0.000 0.571
```

# 2
Computed, not measured: a crystal of TaNiAs relaxed with PBEsol at the SCAN level of DFT. Values from VASP.

As for the crystal system: orthorhombic. The space group is Pnma.

```
&SYSTEM
  ibrav = 0, nat = 12, ntyp = 3
/
ATOMIC_SPECIES
Ta 180.95 Ta.upf
Ni 58.69 Ni.upf
As 74.92 As.upf
CELL_PARAMETERS angstrom
6.245 0.000 0.000
0.000 3.676 0.000
0.000 0.000 7.238
ATOMIC_POSITIONS crystal
Ta 0.015 0.250 0.164
Ta 0.485 0.750 0.664
Ta 0.515 0.250 0.336
Ta 0.985 0.750 0.836
Ni 0.165 0.250 0.577
Ni 0.335 0.750 0.077
Ni 0.665 0.250 0.923
Ni 0.835 0.750 0.423
As 0.208 0.750 0.382
As 0.292 0.250 0.882
As 0.708 0.750 0.118
As 0.792 0.250 0.618
```

# 3
Computed, not measured: a crystal of Ta2NiAs relaxed with PBEsol at the SCAN level of DFT. Values from VASP.

As for the crystal system: orthorhombic. The space group is Pmmm.

```
&SYSTEM
  ibrav = 0, nat = 4, ntyp = 3
/
ATOMIC_SPECIES
Ta 180.95 Ta.upf
Ni 58.69 Ni.upf
As 74.92 As.upf
CELL_PARAMETERS angstrom
3.601 0.000 0.000
0.000 3.944 0.000
0.000 0.000 4.226
ATOMIC_POSITIONS crystal
Ta 0.000 0.000 0.000
Ta 0.500 0.000 0.500
Ni 0.000 0.500 0.500
As 0.500 0.500 0.000
```

# 4
Computed, not measured: a crystal of Ta2NiAs relaxed with PBEsol at the SCAN level of DFT. Values from VASP.

As for the crystal system: cubic. The space group is F-43m.

```
&SYSTEM
  ibrav = 0, nat = 4, ntyp = 3
/
ATOMIC_SPECIES
Ta 180.95 Ta.upf
Ni 58.69 Ni.upf
As 74.92 As.upf
CELL_PARAMETERS angstrom
0.000 3.132 3.132
3.132 0.000 3.132
3.132 3.132 0.000
ATOMIC_POSITIONS crystal
Ta 0.000 0.000 0.000
Ta 0.250 0.250 0.250
Ni 0.500 0.500 0.500
As 0.750 0.750 0.750
```

# 5
Computed, not measured: a crystal of Ta2NiAs relaxed with PBEsol at the SCAN level of DFT. Values from VASP.

As for the crystal system: orthorhombic. The space group is Amm2.

```
&SYSTEM
  ibrav = 0, nat = 4, ntyp = 3
/
ATOMIC_SPECIES
Ta 180.95 Ta.upf
Ni 58.69 Ni.upf
As 74.92 As.upf
CELL_PARAMETERS angstrom
3.613 0.000 0.000
0.000 1.697 4.890
0.000 -1.697 4.890
ATOMIC_POSITIONS crystal
Ta 0.000 0.000 0.000
Ta 0.500 0.324 0.324
Ni 0.500 0.586 0.586
As 0.000 0.727 0.727
```

# 6
Computed, not measured: a crystal of TaNi2As relaxed with PBEsol at the SCAN level of DFT. Values from VASP.

As for the crystal system: cubic. The space group is F-43m.

```
&SYSTEM
  ibrav = 0, nat = 4, ntyp = 3
/
ATOMIC_SPECIES
Ta 180.95 Ta.upf
Ni 58.69 Ni.upf
As 74.92 As.upf
CELL_PARAMETERS angstrom
0.000 2.980 2.980
2.980 0.000 2.980
2.980 2.980 0.000
ATOMIC_POSITIONS crystal
Ta 0.000 0.000 0.000
Ni 0.250 0.250 0.250
Ni 0.500 0.500 0.500
As 0.750 0.750 0.750
```

# 7
Computed, not measured: a crystal of Ta2NiAs relaxed with PBEsol at the SCAN level of DFT. Values from VASP.

As for the crystal system: tetragonal. The space group is I4/mmm.

```
&SYSTEM
  ibrav = 0, nat = 4, ntyp = 3
/
ATOMIC_SPECIES
Ta 180.95 Ta.upf
Ni 58.69 Ni.upf
As 74.92 As.upf
CELL_PARAMETERS angstrom
-1.997 1.997 3.745
1.997 -1.997 3.745
1.997 1.997 -3.745
ATOMIC_POSITIONS crystal
Ta 0.250 0.750 0.500
Ta 0.750 0.250 0.500
Ni 0.000 0.000 0.000
As 0.500 0.500 0.000
```

# 8
Computed, not measured: a crystal of TaNi2As relaxed with PBEsol at the SCAN level of DFT. Values from VASP.

As for the crystal system: orthorhombic. The space group is Cmmm.

```
&SYSTEM
  ibrav = 0, nat = 4, ntyp = 3
/
ATOMIC_SPECIES
Ta 180.95 Ta.upf
Ni 58.69 Ni.upf
As 74.92 As.upf
CELL_PARAMETERS angstrom
2.561 -3.663 0.000
2.561 3.663 0.000
0.000 0.000 2.899
ATOMIC_POSITIONS crystal
Ta 0.000 0.000 0.000
Ni 0.000 0.500 0.500
Ni 0.500 0.000 0.500
As 0.500 0.500 0.000
```

Number 1: energy relative to the elements -0.027 eV/atom. Number 2: energy relative to the elements -0.465 eV/atom. Number 3: energy relative to the elements -0.157 eV/atom. Number 4: energy relative to the elements 0.269 eV/atom. Number 5: energy relative to the elements -0.427 eV/atom. Number 6: energy relative to the elements -0.086 eV/atom. Number 7: energy relative to the elements -0.186 eV/atom. Number 8: energy relative to the elements -0.021 eV/atom.